# 1
Compound: Cs2HI
Source: the Alexandria database
Functional: PBE
Structure: relaxed

```
Cs2HI
1.0
-2.739 3.124 1.148
-2.762 -1.305 -3.042
-3.768 -5.414 5.744
Cs I H
2 1 1
Cartesian
-2.931 -4.212 4.469
-0.836 -1.202 1.275
-4.635 -1.797 1.925
-2.751 0.910 -0.947
```

Output
The calculation puts the total magnetization at 0.00 μB/cell. As for the space group: P4/mmm (123). As for the crystal system: tetragonal. As for the energy above the most stable polymorph in this dataset: 56 meV per atom.



# 2
Compound: Cs6HI4
Source: the Alexandria database
Functional: PBE
Structure: relaxed

```
Cs6HI4
1.0
-8.423 -6.741 -0.508
0.834 -1.754 10.625
-6.753 8.202 1.941
Cs H I
12 2 8
Cartesian
-6.400 -4.251 0.386
-0.760 -0.551 3.196
-5.857 -2.958 4.820
-12.653 -0.699 1.678
-8.393 0.596 3.020
-4.375 1.502 5.281
-9.967 -1.794 6.776
-5.949 -0.888 9.037
-1.689 0.407 10.379
-8.485 2.666 7.238
-13.582 0.259 8.862
-7.942 3.958 11.672
-7.171 -0.146 6.029
0.000 0.000 0.000
-4.682 -0.664 1.696
-9.594 -3.271 2.930
-2.468 -1.713 6.839
-6.962 4.028 3.985
-7.380 -4.320 8.073
-11.875 1.421 5.219
-4.748 2.978 9.128
-9.660 0.371 10.361
```

Output
The calculation puts the total magnetization at 0.00 μB/cell. As for the space group: R-3c (167). As for the crystal system: trigonal.



# 3
Compound: CsH6I
Source: the Alexandria database
Functional: PBE
Structure: relaxed

```
CsH6I
1.0
-4.416 0.289 2.414
-3.079 -2.847 -2.798
4.038 -4.247 3.592
Cs H I
1 6 1
Cartesian
0.000 0.000 0.000
-1.477 -5.288 1.291
-2.020 -4.013 3.408
-1.437 -2.792 -0.201
-1.980 -1.518 1.917
-0.039 -5.415 3.248
-3.417 -1.390 -0.041
-1.728 -3.403 1.604
```

Output
The calculation puts the total magnetization at 0.00 μB/cell. As for the space group: C2/m (12). As for the crystal system: monoclinic.



# 4
Compound: CsH12I4
Source: the Alexandria database
Functional: PBE
Structure: relaxed

```
CsH12I4
1.0
-1.828 -6.616 3.770
3.194 -1.744 -6.934
5.117 4.110 4.272
Cs H I
1 12 4
Cartesian
0.000 0.000 0.000
1.977 -2.552 3.903
1.512 -5.173 1.400
1.814 -3.494 -1.831
4.280 0.727 -0.071
4.669 -0.755 2.939
4.971 0.923 -0.292
1.928 -4.189 -2.094
4.555 -0.060 3.202
2.203 -4.976 1.179
1.703 -2.343 3.234
4.780 -1.906 -2.126
4.507 -1.698 -2.795
1.597 -0.872 -3.467
2.558 2.055 2.136
-0.914 -3.308 1.885
3.242 -2.125 0.554
```

Output
The calculation puts the total magnetization at 3.05 μB/cell. As for the space group: Im-3 (204). As for the crystal system: cubic.



# 5
Compound: Cs5HI4
Source: the Alexandria database
Functional: PBE
Structure: relaxed

```
Cs5HI4
1.0
-5.103 1.380 1.394
-0.133 -4.120 3.590
9.415 12.889 10.980
Cs H I
5 1 4
Cartesian
1.219 2.066 2.417
-2.618 -1.370 2.492
2.960 8.082 13.548
4.079 6.912 8.085
0.100 3.236 7.880
0.000 0.000 0.000
5.468 9.266 10.838
1.512 5.628 10.678
2.667 4.520 5.287
-1.289 0.883 5.127
```

Output
The calculation puts the total magnetization at 0.05 μB/cell. As for the space group: I4/mmm (139). As for the crystal system: tetragonal. As for the energy above the most stable polymorph in this dataset: 9 meV per atom.



# 6
Compound: Cs2H4I3
Source: the Alexandria database
Functional: PBE
Structure: relaxed

```
Cs2H4I3
1.0
-0.848 -2.100 -6.725
0.492 -2.452 4.447
-11.361 -4.464 2.826
Cs H I
2 4 3
Cartesian
-2.501 -3.081 1.278
-9.216 -5.934 -0.729
-0.670 -2.722 -2.810
-9.137 -4.433 2.536
-2.580 -4.582 -1.988
-11.047 -6.293 3.358
-7.203 -5.020 2.476
0.000 0.000 0.000
-4.514 -3.995 -1.927
```

Output
The calculation puts the total magnetization at 0.00 μB/cell. As for the space group: C2/m (12). As for the crystal system: monoclinic.



# 7
Compound: Cs2HI4
Source: the Alexandria database
Functional: PBE
Structure: relaxed

```
Cs2HI4
1.0
5.084 0.000 0.000
0.000 5.084 0.000
2.542 2.542 11.937
Cs I H
2 4 1
Cartesian
5.084 5.084 8.414
2.542 2.542 3.524
5.084 5.084 4.485
2.542 2.542 7.452
0.000 2.542 0.000
2.542 0.000 0.000
0.000 0.000 0.000
```

Output
The calculation puts the total magnetization at 0.00 μB/cell. As for the space group: I4/mmm (139). As for the crystal system: tetragonal.



# 8
Compound: Cs3H2I
Source: the Alexandria database
Functional: PBE
Structure: relaxed

```
Cs3H2I
1.0
7.705 -0.029 0.006
-3.815 7.317 -2.413
-0.007 -0.109 9.455
Cs H I
6 4 2
Cartesian
-0.087 7.220 4.680
3.970 -0.041 2.368
4.301 4.256 6.988
0.443 2.864 4.792
3.440 4.315 2.255
-0.418 2.923 0.060
0.372 4.864 2.353
-0.334 4.812 7.078
4.217 2.367 -0.031
3.511 2.315 4.695
0.131 -0.024 2.364
3.752 7.203 4.684
```

Output
The calculation puts the total magnetization at 0.00 μB/cell. As for the space group: P-1 (2). As for the crystal system: triclinic.



# 9
Compound: Cs3HI
Source: the Alexandria database
Functional: PBE
Structure: relaxed

```
Cs3HI
1.0
-4.004 -4.251 -2.512
3.181 0.254 -5.498
3.777 -4.720 1.967
Cs I H
3 1 1
Cartesian
1.590 0.127 -2.749
1.888 -2.360 0.983
-2.002 -2.125 -1.256
1.477 -4.358 -3.022
0.000 0.000 0.000
```

Output
The calculation puts the total magnetization at 0.00 μB/cell. As for the space group: Pm-3m (221). As for the crystal system: cubic. As for the energy above the most stable polymorph in this dataset: 0 meV per atom.



# 10
Compound: Cs4H3I
Source: the Alexandria database
Functional: PBE
Structure: relaxed

```
Cs4H3I
1.0
4.733 0.000 0.000
0.000 7.194 0.000
0.000 0.000 9.825
Cs H I
4 3 1
Cartesian
0.000 3.597 4.912
2.366 0.000 6.937
0.000 3.597 0.000
2.366 0.000 2.887
2.366 3.597 2.645
0.000 0.000 4.912
2.366 3.597 7.180
0.000 0.000 0.000
```

Output
The calculation puts the total magnetization at 0.00 μB/cell. As for the space group: Pmmm (47). As for the crystal system: orthorhombic.



# 11
Compound: Cs12H3I5
Source: the Alexandria database
Functional: PBE
Structure: relaxed

```
Cs12H3I5
1.0
19.073 0.000 0.000
-6.358 17.982 0.000
-6.358 -8.991 15.573
H I Cs
12 20 48
Cartesian
11.126 5.619 1.947
11.126 12.363 1.947
-1.589 7.867 9.733
1.589 -1.124 5.840
14.305 0.000 3.893
1.589 8.991 3.893
4.768 0.000 11.680
-7.947 8.991 11.680
4.768 10.115 9.733
7.947 1.124 5.840
-4.768 -3.372 13.626
-4.768 3.372 13.626
-1.589 4.496 3.893
-3.179 8.991 0.000
0.000 0.000 0.000
4.768 3.372 1.947
6.358 -4.496 7.786
6.358 8.991 0.000
-4.768 10.115 5.840
7.947 -5.619 13.626
7.947 7.867 5.840
1.589 -4.496 11.680
4.768 13.487 3.893
3.179 4.496 7.786
9.536 0.000 0.000
-3.179 -4.496 7.786
-1.589 1.124 9.733
-1.589 14.610 1.947
-6.358 4.496 7.786
11.126 -1.124 9.733
1.589 5.619 13.626
7.947 4.496 11.680
12.895 1.584 1.083
-0.179 6.225 6.956
13.697 4.446 4.046
8.554 3.215 1.913
2.805 7.281 10.444
13.144 8.415 2.658
-0.982 10.222 5.959
-5.376 14.767 1.913
0.374 10.701 10.444
9.108 9.567 2.658
9.357 4.350 5.873
9.357 16.398 1.083
-5.984 8.190 8.869
3.607 6.977 1.827
-6.178 13.632 5.873
2.999 -2.766 8.617
-0.374 0.909 3.741
3.607 11.581 0.830
8.554 13.536 4.046
-0.428 6.401 0.830
-3.553 9.900 11.832
4.161 7.760 5.959
9.162 9.792 8.869
6.786 -2.014 13.745
2.197 1.231 9.614
-2.805 -0.801 6.703
-0.428 11.005 1.827
-2.197 -4.545 11.527
9.910 -0.909 3.741
6.786 2.590 14.743
2.750 -2.590 14.743
3.358 11.757 6.956
6.732 8.082 11.832
12.536 -4.641 9.700
12.341 0.801 6.703
-2.999 -7.407 14.490
2.750 2.014 13.745
5.984 -1.710 5.129
-2.750 -0.576 12.915
-2.999 4.641 9.700
11.733 -5.776 13.660
7.340 -1.231 9.614
-2.197 5.776 13.660
-6.786 0.576 12.915
3.553 1.710 5.129
-7.340 4.545 11.527
6.537 2.766 8.617
-6.537 7.407 14.490
```

Output
The calculation puts the total magnetization at 5.70 μB/cell. As for the space group: Ia-3d (230). As for the crystal system: cubic.



# 12
Compound: Cs4H5I
Source: the Alexandria database
Functional: PBE
Structure: relaxed

```
Cs4H5I
1.0
4.903 0.000 0.000
0.000 11.190 0.000
0.000 0.000 13.222
Cs H I
8 10 2
Cartesian
1.189 0.000 10.025
1.263 7.842 0.000
1.263 3.348 0.000
1.189 0.000 3.197
3.713 5.595 3.414
3.640 8.943 6.611
3.640 2.247 6.611
3.713 5.595 9.808
2.084 8.235 9.925
2.084 2.956 9.925
3.625 5.595 0.000
2.084 8.235 3.297
2.084 2.956 3.297
2.819 8.551 3.314
2.819 2.639 3.314
1.278 0.000 6.611
2.819 2.639 9.908
2.819 8.551 9.908
3.592 0.000 0.000
1.311 5.595 6.611
```

Output
The calculation puts the total magnetization at 3.37 μB/cell. As for the space group: Pmmn (59). As for the crystal system: orthorhombic.



no.,Fermi-level density of states (states/eV per cell),raw total energy (eV per atom)
1,0.000,-2.420
2,6.335,-2.419
3,0.000,-2.538
4,12.156,-2.776
5,0.000,-2.624
6,1.131,-2.341
7,11.538,-2.172
8,0.000,-2.389
9,4.709,-2.006
10,0.000,-2.339
11,24.949,-1.998
12,5.781,-2.436